i:
DFT (PBE-GGA) results for an optimized crystal structure of Y2TaAg.

## Properties
DOS at the Fermi energy: 13.85 states/eV per cell
ρ: 8.199 Mg/m³

CIF file:
```
data_Y2TaAg
_chemical_formula_sum 'Y4 Ta2 Ag2'
_space_group_name_H-M_alt 'I -4 m 2'
_space_group_IT_number 119
_space_group_name_Hall 'I -4 -2'
_cell_length_a 4.374
_cell_length_b 4.374
_cell_length_c 9.879
_cell_angle_alpha 90.00
_cell_angle_beta 90.00
_cell_angle_gamma 90.00
loop_
_atom_site_label
_atom_site_fract_x
_atom_site_fract_y
_atom_site_fract_z
_atom_site_occupancy
Y1 0.000 0.000 0.000 1
Y2 0.000 0.500 0.250 1
Ta1 0.000 0.000 0.500 1
Ag1 0.000 0.500 0.750 1
```

---

ii:
DFT (PBE-GGA) results for an optimized crystal structure of Y2TaAg.

## Properties
DOS at the Fermi energy: 11.87 states/eV per cell
ρ: 7.790 Mg/m³

CIF file:
```
data_Y2TaAg
_chemical_formula_sum 'Y8 Ta4 Ag4'
_space_group_name_H-M_alt 'I -4 2 d'
_space_group_IT_number 122
_space_group_name_Hall 'I -4 2bw'
_cell_length_a 4.404
_cell_length_b 4.404
_cell_length_c 20.511
_cell_angle_alpha 90.00
_cell_angle_beta 90.00
_cell_angle_gamma 90.00
loop_
_atom_site_label
_atom_site_fract_x
_atom_site_fract_y
_atom_site_fract_z
_atom_site_occupancy
Y1 0.250 0.250 0.125 1
Ta1 0.000 0.000 0.000 1
Ag1 0.000 0.000 0.500 1
```

---

Unit: meV per atom. Relative energies: i 0; ii 446.

---

i:
DFT (PBE-GGA) results for an optimized crystal structure of Y2TaAg.

## Properties
DOS at the Fermi energy: 5.02 states/eV per cell
ρ: 8.141 Mg/m³

CIF file:
```
data_Y2TaAg
_chemical_formula_sum 'Y2 Ta1 Ag1'
_space_group_name_H-M_alt 'P 4/m m m'
_space_group_IT_number 123
_space_group_name_Hall '-P 4 2'
_cell_length_a 3.330
_cell_length_b 3.330
_cell_length_c 8.584
_cell_angle_alpha 90.00
_cell_angle_beta 90.00
_cell_angle_gamma 90.00
loop_
_atom_site_label
_atom_site_fract_x
_atom_site_fract_y
_atom_site_fract_z
_atom_site_occupancy
Y1 0.000 0.000 0.248 1
Ta1 0.500 0.500 0.500 1
Ag1 0.500 0.500 0.000 1
```

---

ii:
DFT (PBE-GGA) results for an optimized crystal structure of Y2TaAg.

## Properties
DOS at the Fermi energy: 8.90 states/eV per cell
ρ: 8.003 Mg/m³

CIF file:
```
data_Y2TaAg
_chemical_formula_sum 'Y8 Ta4 Ag4'
_space_group_name_H-M_alt 'F m -3 m'
_space_group_IT_number 225
_space_group_name_Hall '-F 4 2 3'
_cell_length_a 7.289
_cell_length_b 7.289
_cell_length_c 7.289
_cell_angle_alpha 90.00
_cell_angle_beta 90.00
_cell_angle_gamma 90.00
loop_
_atom_site_label
_atom_site_fract_x
_atom_site_fract_y
_atom_site_fract_z
_atom_site_occupancy
Y1 0.250 0.250 0.250 1
Ta1 0.000 0.000 0.000 1
Ag1 0.000 0.000 0.500 1
```

---

iii:
DFT (PBE-GGA) results for an optimized crystal structure of Y2TaAg.

## Properties
DOS at the Fermi energy: 4.48 states/eV per cell
ρ: 8.042 Mg/m³

CIF file:
```
data_Y2TaAg
_chemical_formula_sum 'Y2 Ta1 Ag1'
_space_group_name_H-M_alt 'P m m 2'
_space_group_IT_number 25
_cell_length_a 3.302
_cell_length_b 4.587
_cell_length_c 6.361
_cell_angle_alpha 90.00
_cell_angle_beta 90.00
_cell_angle_gamma 90.00
loop_
_space_group_symop_operation_xyz
'x,y,z'
'-x,-y,z'
'-x,y,z'
'x,-y,z'
loop_
_atom_site_label
_atom_site_fract_x
_atom_site_fract_y
_atom_site_fract_z
_atom_site_occupancy
Y1 0.000 0.000 0.000 1
Y2 0.500 0.500 0.317 1
Ta1 0.500 0.500 0.807 1
Ag1 0.000 0.000 0.533 1
```

---

iv:
DFT (PBE-GGA) results for an optimized crystal structure of Y2TaAg.

## Properties
DOS at the Fermi energy: 22.29 states/eV per cell
ρ: 8.333 Mg/m³

CIF file:
```
data_Y2TaAg
_chemical_formula_sum 'Y8 Ta4 Ag4'
_space_group_name_H-M_alt 'F -4 3 m'
_space_group_IT_number 216
_space_group_name_Hall 'F -4 2 3'
_cell_length_a 7.192
_cell_length_b 7.192
_cell_length_c 7.192
_cell_angle_alpha 90.00
_cell_angle_beta 90.00
_cell_angle_gamma 90.00
loop_
_atom_site_label
_atom_site_fract_x
_atom_site_fract_y
_atom_site_fract_z
_atom_site_occupancy
Y1 0.000 0.000 0.000 1
Y2 0.250 0.250 0.250 1
Ta1 0.000 0.000 0.500 1
Ag1 0.250 0.250 0.750 1
```

---

Unit: meV per atom. Relative energies: i 0; ii 209; iii 266; iv 399.

---

i:
DFT (PBE-GGA) results for an optimized crystal structure of Y3TaAg.

## Properties
DOS at the Fermi energy: 9.76 states/eV per cell
ρ: 5.822 Mg/m³

CIF file:
```
data_Y3TaAg
_chemical_formula_sum 'Y3 Ta1 Ag1'
_space_group_name_H-M_alt 'P m -3 m'
_space_group_IT_number 221
_space_group_name_Hall '-P 4 2 3'
_cell_length_a 5.411
_cell_length_b 5.411
_cell_length_c 5.411
_cell_angle_alpha 90.00
_cell_angle_beta 90.00
_cell_angle_gamma 90.00
loop_
_atom_site_label
_atom_site_fract_x
_atom_site_fract_y
_atom_site_fract_z
_atom_site_occupancy
Y1 0.000 0.000 0.500 1
Ta1 0.500 0.500 0.500 1
Ag1 0.000 0.000 0.000 1
```

---

ii:
DFT (PBE-GGA) results for an optimized crystal structure of Y3TaAg.

## Properties
DOS at the Fermi energy: 4.26 states/eV per cell
ρ: 5.657 Mg/m³

CIF file:
```
data_Y3TaAg
_chemical_formula_sum 'Y3 Ta1 Ag1'
_space_group_name_H-M_alt 'P m -3 m'
_space_group_IT_number 221
_space_group_name_Hall '-P 4 2 3'
_cell_length_a 5.463
_cell_length_b 5.463
_cell_length_c 5.463
_cell_angle_alpha 90.00
_cell_angle_beta 90.00
_cell_angle_gamma 90.00
loop_
_atom_site_label
_atom_site_fract_x
_atom_site_fract_y
_atom_site_fract_z
_atom_site_occupancy
Y1 0.000 0.000 0.500 1
Ta1 0.000 0.000 0.000 1
Ag1 0.500 0.500 0.500 1
```

---

Unit: meV per atom. Relative energies: i 249; ii 0.

---

i:
DFT (PBE-GGA) results for an optimized crystal structure of TaZn3Ag.

## Properties
DOS at the Fermi energy: 6.22 states/eV per cell
ρ: 6.300 Mg/m³

CIF file:
```
data_TaZn3Ag
_chemical_formula_sum 'Ta1 Zn3 Ag1'
_space_group_name_H-M_alt 'P m -3 m'
_space_group_IT_number 221
_space_group_name_Hall '-P 4 2 3'
_cell_length_a 5.038
_cell_length_b 5.038
_cell_length_c 5.038
_cell_angle_alpha 90.00
_cell_angle_beta 90.00
_cell_angle_gamma 90.00
loop_
_atom_site_label
_atom_site_fract_x
_atom_site_fract_y
_atom_site_fract_z
_atom_site_occupancy
Ta1 0.000 0.000 0.000 1
Zn1 0.000 0.000 0.500 1
Ag1 0.500 0.500 0.500 1
```

---

ii:
DFT (PBE-GGA) results for an optimized crystal structure of TaZn3Ag.

## Properties
DOS at the Fermi energy: 2.61 states/eV per cell
ρ: 8.108 Mg/m³

CIF file:
```
data_TaZn3Ag
_chemical_formula_sum 'Ta1 Zn3 Ag1'
_space_group_name_H-M_alt 'P m -3 m'
_space_group_IT_number 221
_space_group_name_Hall '-P 4 2 3'
_cell_length_a 4.631
_cell_length_b 4.631
_cell_length_c 4.631
_cell_angle_alpha 90.00
_cell_angle_beta 90.00
_cell_angle_gamma 90.00
loop_
_atom_site_label
_atom_site_fract_x
_atom_site_fract_y
_atom_site_fract_z
_atom_site_occupancy
Ta1 0.000 0.000 0.000 1
Zn1 0.000 0.500 0.500 1
Ag1 0.500 0.500 0.500 1
```

---

Unit: meV per atom. Relative energies: i 119; ii 0.

---

i:
DFT (PBE-GGA) results for an optimized crystal structure of Zr2TaAg.

## Properties
DOS at the Fermi energy: 3.30 states/eV per cell
ρ: 9.481 Mg/m³

CIF file:
```
data_Zr2TaAg
_chemical_formula_sum 'Zr2 Ta1 Ag1'
_space_group_name_H-M_alt 'P m m m'
_space_group_IT_number 47
_cell_length_a 3.169
_cell_length_b 3.580
_cell_length_c 7.275
_cell_angle_alpha 90.00
_cell_angle_beta 90.00
_cell_angle_gamma 90.00
loop_
_space_group_symop_operation_xyz
'x,y,z'
'-x,-y,-z'
'-x,-y,z'
'x,y,-z'
'x,-y,-z'
'-x,y,z'
'-x,y,-z'
'x,-y,z'
loop_
_atom_site_label
_atom_site_fract_x
_atom_site_fract_y
_atom_site_fract_z
_atom_site_occupancy
Zr1 0.000 0.000 0.239 1
Ta1 0.500 0.500 0.000 1
Ag1 0.500 0.500 0.500 1
```

---

ii:
DFT (PBE-GGA) results for an optimized crystal structure of Zr2TaAg.

## Properties
DOS at the Fermi energy: 4.68 states/eV per cell
ρ: 9.700 Mg/m³

CIF file:
```
data_Zr2TaAg
_chemical_formula_sum 'Zr2 Ta1 Ag1'
_space_group_name_H-M_alt 'P 4/m m m'
_space_group_IT_number 123
_space_group_name_Hall '-P 4 2'
_cell_length_a 4.802
_cell_length_b 4.802
_cell_length_c 3.499
_cell_angle_alpha 90.00
_cell_angle_beta 90.00
_cell_angle_gamma 90.00
loop_
_atom_site_label
_atom_site_fract_x
_atom_site_fract_y
_atom_site_fract_z
_atom_site_occupancy
Zr1 0.000 0.500 0.000 1
Ta1 0.000 0.000 0.500 1
Ag1 0.500 0.500 0.500 1
```

---

Unit: meV per atom. Relative energies: i 0; ii 101.

---

i:
DFT (PBE-GGA) results for an optimized crystal structure of Zr2TaAg.

## Properties
DOS at the Fermi energy: 10.23 states/eV per cell
ρ: 9.389 Mg/m³

CIF file:
```
data_Zr2TaAg
_chemical_formula_sum 'Zr6 Ta3 Ag3'
_space_group_name_H-M_alt 'R -3 m'
_space_group_IT_number 166
_space_group_name_Hall '-R 3 2"'
_cell_length_a 3.1261
_cell_length_b 3.1261
_cell_length_c 29.5465
_cell_angle_alpha 90.00
_cell_angle_beta 90.00
_cell_angle_gamma 120.00
loop_
_atom_site_label
_atom_site_fract_x
_atom_site_fract_y
_atom_site_fract_z
_atom_site_occupancy
Zr1 0.0000 0.0000 0.2485 1
Ta1 0.0000 0.0000 0.5000 1
Ag1 0.0000 0.0000 0.0000 1
```

---

ii:
DFT (PBE-GGA) results for an optimized crystal structure of Zr2TaAg.

## Properties
DOS at the Fermi energy: 8.05 states/eV per cell
ρ: 9.529 Mg/m³

CIF file:
```
data_Zr2TaAg
_chemical_formula_sum 'Zr4 Ta2 Ag2'
_space_group_name_H-M_alt 'C 1 m 1'
_space_group_IT_number 8
_cell_length_a 11.073
_cell_length_b 3.048
_cell_length_c 5.315
_cell_angle_alpha 90.00
_cell_angle_beta 113.71
_cell_angle_gamma 90.00
loop_
_space_group_symop_operation_xyz
'x,y,z'
'x,-y,z'
'x+1/2,y+1/2,z'
'x+1/2,-y+1/2,z'
loop_
_atom_site_label
_atom_site_fract_x
_atom_site_fract_y
_atom_site_fract_z
_atom_site_occupancy
Zr1 0.000 0.000 0.000 1
Zr2 0.220 0.000 0.614 1
Ta1 0.250 0.500 0.120 1
Ag1 0.474 0.000 0.501 1
```

---

iii:
DFT (PBE-GGA) results for an optimized crystal structure of Zr2TaAg.

## Properties
DOS at the Fermi energy: 4.11 states/eV per cell
ρ: 9.651 Mg/m³

CIF file:
```
data_Zr2TaAg
_chemical_formula_sum 'Zr2 Ta1 Ag1'
_space_group_name_H-M_alt 'P m m 2'
_space_group_IT_number 25
_cell_length_a 3.133
_cell_length_b 3.937
_cell_length_c 6.573
_cell_angle_alpha 90.00
_cell_angle_beta 90.00
_cell_angle_gamma 90.00
loop_
_space_group_symop_operation_xyz
'x,y,z'
'-x,-y,z'
'-x,y,z'
'x,-y,z'
loop_
_atom_site_label
_atom_site_fract_x
_atom_site_fract_y
_atom_site_fract_z
_atom_site_occupancy
Zr1 0.000 0.000 0.000 1
Zr2 0.500 0.500 0.270 1
Ta1 0.500 0.500 0.760 1
Ag1 0.000 0.000 0.519 1
```

---

iv:
DFT (PBE-GGA) results for an optimized crystal structure of Zr2TaAg.

## Properties
DOS at the Fermi energy: 7.00 states/eV per cell
ρ: 9.645 Mg/m³

CIF file:
```
data_Zr2TaAg
_chemical_formula_sum 'Zr4 Ta2 Ag2'
_space_group_name_H-M_alt 'I 4/m m m'
_space_group_IT_number 139
_space_group_name_Hall '-I 4 2'
_cell_length_a 4.326
_cell_length_b 4.326
_cell_length_c 8.670
_cell_angle_alpha 90.00
_cell_angle_beta 90.00
_cell_angle_gamma 90.00
loop_
_atom_site_label
_atom_site_fract_x
_atom_site_fract_y
_atom_site_fract_z
_atom_site_occupancy
Zr1 0.000 0.500 0.250 1
Ta1 0.000 0.000 0.000 1
Ag1 0.000 0.000 0.500 1
```

---

Unit: meV per atom. Relative energies: i 17; ii 0; iii 47; iv 31.